No. 1
Entry from Alexandria via LeMat-Bulk: crystalline V2ReHIr at its relaxed geometry (GGA-PBE).

Structure (extended XYZ):
```
5
Lattice="3.9703 0.0000 0.0000 0.0000 3.9703 0.0000 0.0000 0.0000 3.7043" Properties=species:S:1:pos:R:3 pbc="T T T"
Re 1.9852 1.9852 1.8521
Ir 0.0000 0.0000 1.8521
H 0.0000 0.0000 0.0000
V 0.0000 1.9852 0.0000
V 1.9852 0.0000 0.0000
```

## Properties
As for the magnetization: 0.00 μB/f.u. The value obtained for the energy above the most stable polymorph in this dataset is 23 meV per atom.

---

No. 2
Entry from Alexandria via LeMat-Bulk: crystalline V2ReHIr at its relaxed geometry (GGA-PBE).

Structure (extended XYZ):
```
5
Lattice="-1.2593 -3.5688 0.9703 2.1570 -1.5413 -2.8697 2.9343 -0.3802 2.4098" Properties=species:S:1:pos:R:3 pbc="T T T"
Re 1.4671 -0.1901 1.2049
Ir 1.9160 -2.7452 0.2551
H 0.0000 0.0000 0.0000
V 1.0785 -0.7707 -1.4349
V -0.6296 -1.7844 0.4851
```

## Properties
As for the magnetization: 0.00 μB/f.u. The value obtained for the energy above the most stable polymorph in this dataset is 0 meV per atom.